Entry 1:
Here is crystalline Mn2InSb at its relaxed geometry from Alexandria via LeMat-Bulk. Energies are from PBE.

It has space group I4/mmm (No. 139), with a = 4.333 Å, b = 4.333 Å, c = 8.011 Å, α = 90.00°, β = 90.00° and γ = 90.00°. The distinct sites, in fractional coordinates, are Mn at (0.000, 0.500, 0.250), In at (0.000, 0.000, 0.000) and Sb at (0.000, 0.000, 0.500).

The calculation puts the raw formation energy at 1.17 eV per formula unit. Its density of states at the Fermi level is 3.0 states/eV/f.u. For the relative energy among the computed polymorphs, the calculation gives 0.067 eV/atom.

Entry 2:
Here is crystalline Mn2InSb at its relaxed geometry from Alexandria via LeMat-Bulk. Energies are from PBE.

It has space group F-43m (No. 216), with a = 6.891 Å, b = 6.891 Å, c = 6.891 Å, α = 90.00°, β = 90.00° and γ = 90.00°. The distinct sites, in fractional coordinates, are Mn at (0.000, 0.000, 0.000), Mn at (0.250, 0.250, 0.250), In at (0.000, 0.000, 0.500) and Sb at (0.250, 0.250, 0.750).

The calculation puts the raw formation energy at 2.31 eV per formula unit. Its density of states at the Fermi level is 5.2 states/eV/f.u. For the relative energy among the computed polymorphs, the calculation gives 0.351 eV/atom.

Entry 3:
Here is crystalline Mn2InSb at its relaxed geometry from Alexandria via LeMat-Bulk. Energies are from PBE.

It has space group Imm2 (No. 44), with a = 3.035 Å, b = 4.544 Å, c = 11.744 Å, α = 90.00°, β = 90.00° and γ = 90.00°. The distinct sites, in fractional coordinates, are Mn at (0.000, 0.000, 0.000), Mn at (0.000, 0.500, 0.305), In at (0.000, 0.500, 0.833) and Sb at (0.000, 0.000, 0.600).

The calculation puts the raw formation energy at 0.95 eV per formula unit. Its density of states at the Fermi level is 2.2 states/eV/f.u. For the relative energy among the computed polymorphs, the calculation gives 0.010 eV/atom.

Entry 4:
Here is crystalline Mn2InSb at its relaxed geometry from Alexandria via LeMat-Bulk. Energies are from PBE.

It has space group C2/m (No. 12), with a = 6.167 Å, b = 7.880 Å, c = 3.080 Å, α = 90.00°, β = 92.16° and γ = 90.00°. The distinct sites, in fractional coordinates, are Mn at (0.250, 0.250, 0.000), In at (0.000, 0.000, 0.500) and Sb at (0.000, 0.500, 0.500).

The calculation puts the raw formation energy at 1.18 eV per formula unit. Its density of states at the Fermi level is 3.3 states/eV/f.u. For the relative energy among the computed polymorphs, the calculation gives 0.069 eV/atom.

Entry 5:
Here is crystalline Mn2InSb at its relaxed geometry from Alexandria via LeMat-Bulk. Energies are from PBE.

It has space group I-4m2 (No. 119), with a = 4.024 Å, b = 4.024 Å, c = 9.267 Å, α = 90.00°, β = 90.00° and γ = 90.00°. The distinct sites, in fractional coordinates, are Mn at (0.000, 0.000, 0.000), Mn at (0.000, 0.500, 0.250), In at (0.000, 0.500, 0.750) and Sb at (0.000, 0.000, 0.500).

The calculation puts the raw formation energy at 0.95 eV per formula unit. Its density of states at the Fermi level is 2.0 states/eV/f.u. For the relative energy among the computed polymorphs, the calculation gives 0.012 eV/atom.

Entry 6:
Here is crystalline MnIn2Sb2 at its relaxed geometry from Alexandria via LeMat-Bulk. Energies are from PBE.

It has space group P4/mbm (No. 127), with a = 7.103 Å, b = 7.103 Å, c = 5.271 Å, α = 90.00°, β = 90.00° and γ = 90.00°. The distinct sites, in fractional coordinates, are Mn at (0.000, 0.000, 0.000), In at (0.172, 0.328, 0.500) and Sb at (0.150, 0.650, 0.000).

The calculation puts the raw formation energy at 0.85 eV per formula unit. Its density of states at the Fermi level is 2.8 states/eV/f.u. For the relative energy among the computed polymorphs, the calculation gives 0.000 eV/atom.